This record from Alexandria via LeMat-Bulk describes a relaxed structure of HfTcNi. The functional is PBE.

energy above the lowest structure with this stoichiometry	149	meV/atom
energy of formation from the pure elements	-0.197	eV/atom
calculated volume	15.8	Å³/atom
mass density	11.76	g/cm³

Geometry as CIF:
```
data_HfTcNi
_cell_length_a 8.589
_cell_length_b 4.294
_cell_length_c 5.230
_cell_angle_alpha 90.00
_cell_angle_beta 101.07
_cell_angle_gamma 90.00
_symmetry_space_group_name_H-M 'C 1 m 1'
_symmetry_Int_Tables_number 8
_symmetry_space_group_name_Hall 'C -2y'
loop_
_atom_site_label
_atom_site_type_symbol
_atom_site_fract_x
_atom_site_fract_y
_atom_site_fract_z
Hf1 Hf 0.000 0.000 0.000
Hf2 Hf 0.231 0.500 0.325
Tc1 Tc 0.146 0.500 0.784
Tc2 Tc 0.314 0.000 0.825
Ni1 Ni 0.050 0.000 0.499
Ni2 Ni 0.416 0.000 0.350
```